Compound: CaPm3Co
Source: Alexandria via LeMat-Bulk
Functional: PBE
Structure: relaxed

```
data_CaPm3Co
_chemical_formula_sum 'Ca1 Pm3 Co1'
_symmetry_space_group_name_H-M 'P m -3 m'
_symmetry_Int_Tables_number 221
_symmetry_space_group_name_Hall '-P 4 2 3'
_cell_length_a 5.463
_cell_length_b 5.463
_cell_length_c 5.463
_cell_angle_alpha 90.00
_cell_angle_beta 90.00
_cell_angle_gamma 90.00
loop_
_atom_site_label
_atom_site_fract_x
_atom_site_fract_y
_atom_site_fract_z
Ca1 0.000 0.000 0.000
Pm1 0.000 0.500 0.500
Co1 0.500 0.500 0.500
```

Output
**DFT formation energy**: 7.1 meV per atom
**Energy**: -4.665 eV/atom
**D(E_F)**: 6.50 states/eV/cell
**Polymorph energy (0 for the lowest one)**: 0.020 eV per atom
**Volume**: 32.6 Å³ per atom

Compound: LaYRu2
Source: Alexandria via LeMat-Bulk
Functional: PBE
Structure: relaxed

```
data_LaYRu2
_chemical_formula_sum 'La1 Y1 Ru2'
_symmetry_space_group_name_H-M 'P m m 2'
_symmetry_Int_Tables_number 25
_symmetry_space_group_name_Hall 'P 2 -2'
_cell_length_a 3.465
_cell_length_b 4.273
_cell_length_c 5.920
_cell_angle_alpha 90.00
_cell_angle_beta 90.00
_cell_angle_gamma 90.00
loop_
_atom_site_label
_atom_site_fract_x
_atom_site_fract_y
_atom_site_fract_z
La1 0.000 0.000 0.000
Y1 0.500 0.500 0.607
Ru1 0.000 0.000 0.460
Ru2 0.500 0.500 0.137
```

Output
**DFT formation energy**: 145.9 meV per atom
**Energy**: -7.340 eV/atom
**D(E_F)**: 5.23 states/eV/cell
**Volume**: 21.9 Å³ per atom